# Ta7Cr

Ta7Cr after structural relaxation (PBE, Alexandria).

a = 5.9086 Å, b = 5.9086 Å, c = 5.9086 Å
α = 60.00°, β = 60.00°, γ = 60.00°
Closest atoms and distances in Å follow each position.
Atoms (fractional coordinates):
Ta1 0.0000 0.5000 0.0000  2 Cr 2.95, 10 Ta 2.95
Ta2 0.0000 0.5000 0.5000  2 Cr 2.95, 10 Ta 2.95
Ta3 0.5000 0.5000 0.0000  2 Cr 2.95, 10 Ta 2.95
Ta4 0.5000 0.5000 0.5000  12 Ta 2.95
Ta5 0.5000 0.0000 0.5000  2 Cr 2.95, 10 Ta 2.95
Ta6 0.5000 0.0000 0.0000  2 Cr 2.95, 10 Ta 2.95
Ta7 0.0000 0.0000 0.5000  2 Cr 2.95, 10 Ta 2.95
Cr1 0.0000 0.0000 0.0000  12 Ta 2.95

Output
N(E_F), states/eV/cell: 10.6
Offset from the most stable computed form, meV/atom: 268
E_form, eV per atom: 0.3134
V, Å³ per atom: 18.2